No. 1
{"formula": "Sr4SnSb", "functional": "PBE", "state": "optimized geometry", "lattice": [[7.538, 0.111, 0.000], [-1.802, 8.703, 0.000], [-2.868, -4.407, 7.463]], "species": ["Sr", "Sr", "Sr", "Sr", "Sr", "Sr", "Sr", "Sr", "Sn", "Sn", "Sb", "Sb"], "frac_coords": [[0.797, 0.696, 0.640], [0.657, 0.056, 0.360], [0.629, 0.364, 0.121], [0.343, 0.944, 0.640], [0.008, 0.243, 0.879], [0.371, 0.636, 0.879], [0.992, 0.757, 0.121], [0.203, 0.304, 0.360], [0.251, 0.001, 0.003], [0.749, 0.999, 0.997], [0.386, 0.636, 0.271], [0.614, 0.364, 0.729]], "sg": "C2/c, No. 15", "final_energy_ha_per_atom": -0.115, "raw_formation_energy_ev_per_atom": -0.663}

***

No. 2
{"formula": "SrSn4Sb", "functional": "PBE", "state": "optimized geometry", "lattice": [[-0.974, -5.547, 2.842], [3.460, -1.624, 5.018], [-2.642, -0.190, 5.725]], "species": ["Sn", "Sn", "Sn", "Sn", "Sb", "Sr"], "frac_coords": [[0.624, 0.624, 0.624], [0.127, 0.624, 0.624], [0.624, 0.624, 0.127], [0.624, 0.127, 0.624], [0.250, 0.250, 0.250], [0.000, 0.000, 0.000]], "sg": "F-43m, No. 216", "final_energy_ha_per_atom": -0.139, "raw_formation_energy_ev_per_atom": -0.158}

***

No. 3
{"formula": "SrSnSb3", "functional": "PBE", "state": "optimized geometry", "lattice": [[5.699, 0.000, 0.000], [0.000, 5.699, 0.000], [0.000, 0.000, 5.699]], "species": ["Sb", "Sb", "Sb", "Sr", "Sn"], "frac_coords": [[0.500, 0.000, 0.000], [0.000, 0.500, 0.000], [0.000, 0.000, 0.500], [0.500, 0.500, 0.500], [0.000, 0.000, 0.000]], "sg": "Pm-3m, No. 221", "final_energy_ha_per_atom": -0.127, "raw_formation_energy_ev_per_atom": 0.147}

***

No. 4
{"formula": "Sr3SnSb3", "functional": "PBE", "state": "optimized geometry", "lattice": [[7.198, 0.000, 0.000], [-3.599, 10.476, 0.000], [0.000, 0.000, 13.824]], "species": ["Sn", "Sn", "Sn", "Sn", "Sr", "Sr", "Sr", "Sr", "Sr", "Sr", "Sr", "Sr", "Sr", "Sr", "Sr", "Sr", "Sb", "Sb", "Sb", "Sb", "Sb", "Sb", "Sb", "Sb", "Sb", "Sb", "Sb", "Sb"], "frac_coords": [[0.088, 0.176, 0.000], [0.588, 0.176, 0.500], [0.412, 0.824, 0.500], [0.912, 0.824, 0.000], [0.194, 0.000, 0.640], [0.514, 0.650, 0.130], [0.694, 0.000, 0.860], [0.986, 0.350, 0.630], [0.806, 0.000, 0.360], [0.137, 0.650, 0.870], [0.863, 0.350, 0.130], [0.637, 0.650, 0.630], [0.363, 0.350, 0.370], [0.486, 0.350, 0.870], [0.014, 0.650, 0.370], [0.306, 0.000, 0.140], [0.766, 0.000, 0.120], [0.266, 0.000, 0.380], [0.443, 0.331, 0.627], [0.388, 0.331, 0.127], [0.888, 0.331, 0.373], [0.612, 0.669, 0.873], [0.057, 0.669, 0.127], [0.234, 0.000, 0.880], [0.943, 0.331, 0.873], [0.112, 0.669, 0.627], [0.734, 0.000, 0.620], [0.557, 0.669, 0.373]], "sg": "Cmce, No. 64", "final_energy_ha_per_atom": -0.140, "raw_formation_energy_ev_per_atom": -0.747}

***

No. 5
{"formula": "SrSnSb2", "functional": "PBE", "state": "optimized geometry", "lattice": [[1.658, 6.643, 1.122], [3.891, -3.732, 4.366], [6.869, 0.455, -0.866]], "species": ["Sr", "Sr", "Sn", "Sn", "Sb", "Sb", "Sb", "Sb"], "frac_coords": [[0.000, 0.250, 0.750], [0.000, 0.750, 0.250], [0.500, 0.250, 0.250], [0.500, 0.750, 0.750], [0.113, 0.806, 0.694], [0.887, 0.194, 0.306], [0.500, 0.306, 0.806], [0.500, 0.694, 0.194]], "sg": "I4/mcm, No. 140", "final_energy_ha_per_atom": -0.146, "raw_formation_energy_ev_per_atom": -0.482}

***

No. 6
{"formula": "SrSn3Sb", "functional": "PBE", "state": "optimized geometry", "lattice": [[-3.203, 4.997, -0.218], [-3.082, -2.176, -4.587], [-3.939, -2.360, 3.767]], "species": ["Sn", "Sn", "Sn", "Sb", "Sr"], "frac_coords": [[0.000, 0.000, 0.500], [0.500, 0.000, 0.000], [0.000, 0.500, 0.000], [0.500, 0.500, 0.500], [0.000, 0.000, 0.000]], "sg": "Pm-3m, No. 221", "final_energy_ha_per_atom": -0.095, "raw_formation_energy_ev_per_atom": 0.965}

***

No. 7
{"formula": "Sr2SnSb2", "functional": "PBE", "state": "optimized geometry", "lattice": [[5.795, 0.000, 0.000], [0.000, 5.795, 0.000], [2.898, 2.898, 5.860]], "species": ["Sr", "Sr", "Sb", "Sb", "Sn"], "frac_coords": [[0.750, 0.250, 0.500], [0.250, 0.750, 0.500], [0.381, 0.381, 0.238], [0.619, 0.619, 0.762], [0.000, 0.000, 0.000]], "sg": "I4/mmm, No. 139", "final_energy_ha_per_atom": -0.125, "raw_formation_energy_ev_per_atom": -0.277}

***

No. 8
{"formula": "SrTa2SnSb", "functional": "PBE", "state": "optimized geometry", "lattice": [[5.174, 0.000, 0.000], [0.000, 5.825, 0.000], [0.000, 0.000, 5.174]], "species": ["Sb", "Ta", "Ta", "Sr", "Sn"], "frac_coords": [[0.000, 0.000, 0.000], [0.000, 0.000, 0.500], [0.500, 0.000, 0.000], [0.500, 0.500, 0.500], [0.000, 0.500, 0.000]], "sg": "P4/mmm, No. 123", "final_energy_ha_per_atom": -0.204, "raw_formation_energy_ev_per_atom": 1.144}